Cs2CaSmI6 | PBE | optimized geometry

The uncorrected formation energy comes out at -1418 meV per atom. The value obtained for the total energy is -63.83 eV per cell.

```
data_Cs2CaSmI6
_cell_length_a 8.795
_cell_length_b 8.792
_cell_length_c 12.441
_cell_angle_alpha 90.00
_cell_angle_beta 90.00
_cell_angle_gamma 90.00
_space_group_name_H-M_alt 'P 1'
_space_group_IT_number 1
loop_
_space_group_symop_operation_xyz
'x,y,z'
loop_
_atom_site_label
_atom_site_fract_x
_atom_site_fract_y
_atom_site_fract_z
_atom_site_occupancy
Cs1 0.500 0.750 0.751 1
Sm1 0.000 0.750 0.500 1
Sm2 0.500 0.250 0.000 1
I1 0.751 0.000 0.000 1
I2 0.749 0.000 0.500 1
I3 0.251 0.000 0.500 1
Ca1 0.000 0.750 0.000 1
I4 0.500 0.250 0.750 1
I5 0.500 0.250 0.250 1
I6 0.000 0.750 0.250 1
Cs2 0.000 0.250 0.749 1
Cs3 0.500 0.750 0.249 1
I7 0.750 0.500 0.000 1
Ca2 0.500 0.250 0.500 1
I8 0.249 0.000 0.000 1
I9 0.750 0.500 0.500 1
I10 0.250 0.500 0.000 1
I11 0.250 0.500 0.500 1
Cs4 0.000 0.250 0.251 1
I12 0.000 0.750 0.750 1
```